[1]
! Ba5Gd8Zn4O21 PBE relaxed; values from VASP
! - Total DFT energy (no corrections): -6.94 eV/atom
! - Spin magnetization: 0.0 μB/cell
&SYSTEM
  ibrav = 0, nat = 38, ntyp = 4
/
ATOMIC_SPECIES
Ba 137.33 Ba.upf
Gd 157.25 Gd.upf
O 16.00 O.upf
Zn 65.41 Zn.upf
CELL_PARAMETERS angstrom
-6.937 6.937 2.874
6.937 -6.937 2.874
6.937 6.937 -2.874
ATOMIC_POSITIONS crystal
Ba 0.000 0.000 0.000
Ba 0.466 0.862 0.327
Ba 0.862 0.534 0.396
Ba 0.138 0.466 0.604
Ba 0.534 0.138 0.673
Gd 0.644 0.412 0.055
Gd 0.833 0.247 0.080
Gd 0.588 0.644 0.232
Gd 0.247 0.167 0.414
Gd 0.753 0.833 0.586
Gd 0.412 0.356 0.768
Gd 0.167 0.753 0.920
Gd 0.356 0.588 0.945
O 0.500 0.500 0.000
O 0.506 0.099 0.112
O 0.014 0.606 0.112
O 0.202 0.427 0.131
O 0.704 0.929 0.131
O 0.427 0.296 0.225
O 0.929 0.798 0.225
O 0.964 0.374 0.338
O 0.901 0.014 0.407
O 0.394 0.506 0.407
O 0.374 0.036 0.409
O 0.626 0.964 0.591
O 0.606 0.494 0.593
O 0.099 0.986 0.593
O 0.036 0.626 0.662
O 0.071 0.202 0.775
O 0.573 0.704 0.775
O 0.296 0.071 0.869
O 0.798 0.573 0.869
O 0.986 0.394 0.888
O 0.494 0.901 0.888
Zn 0.252 0.959 0.211
Zn 0.041 0.252 0.293
Zn 0.959 0.748 0.707
Zn 0.748 0.041 0.789

---

[2]
! InFeAgSeS2 PBE relaxed; values from VASP
! - Total DFT energy (no corrections): -4.47 eV/atom
! - Spin magnetization: 3.9 μB/cell
&SYSTEM
  ibrav = 0, nat = 12, ntyp = 5
/
ATOMIC_SPECIES
Ag 107.87 Ag.upf
Fe 55.84 Fe.upf
In 114.82 In.upf
S 32.06 S.upf
Se 78.96 Se.upf
CELL_PARAMETERS angstrom
1.626 1.284 7.603
-4.502 -0.240 -6.464
-2.500 -9.167 2.082
ATOMIC_POSITIONS crystal
Ag 0.326 0.674 0.250
Ag 0.674 0.326 0.750
Fe 0.000 0.000 0.000
Fe 0.000 0.000 0.500
In 0.675 0.325 0.250
In 0.325 0.675 0.750
S 0.396 0.604 0.016
S 0.396 0.604 0.484
S 0.604 0.396 0.516
S 0.604 0.396 0.984
Se 0.025 0.975 0.250
Se 0.975 0.025 0.750

---

[3]
! Hf3TaGa2 PBE relaxed; values from VASP
! - Total DFT energy (no corrections): -8.33 eV/atom
! - Spin magnetization: 0.0 μB/cell
&SYSTEM
  ibrav = 0, nat = 6, ntyp = 3
/
ATOMIC_SPECIES
Ga 69.72 Ga.upf
Hf 178.49 Hf.upf
Ta 180.95 Ta.upf
CELL_PARAMETERS angstrom
-2.102 -4.327 4.510
-4.200 0.415 3.316
-2.716 -4.502 -0.819
ATOMIC_POSITIONS crystal
Ga 0.252 0.252 0.248
Ga 0.752 0.752 0.748
Hf 0.154 0.844 0.156
Hf 0.652 0.652 0.348
Hf 0.844 0.154 0.846
Ta 0.347 0.347 0.653

---

[4]
! LaNdB2Pd6Pt2 PBE relaxed; values from VASP
! - Spin magnetization: 0.0 μB/cell
! - Relative energy among the computed polymorphs: 0.0000 eV per atom
&SYSTEM
  ibrav = 0, nat = 12, ntyp = 5
/
ATOMIC_SPECIES
B 10.81 B.upf
La 138.91 La.upf
Nd 144.24 Nd.upf
Pd 106.42 Pd.upf
Pt 195.08 Pt.upf
CELL_PARAMETERS angstrom
5.495 0.000 0.000
-2.748 4.759 0.000
0.000 0.000 7.674
ATOMIC_POSITIONS crystal
B 0.667 0.333 0.500
B 0.333 0.667 0.500
La 0.000 0.000 0.000
Nd 0.000 0.000 0.500
Pd 0.500 0.000 0.304
Pd 0.000 0.500 0.304
Pd 0.500 0.500 0.304
Pd 0.500 0.000 0.696
Pd 0.000 0.500 0.696
Pd 0.500 0.500 0.696
Pt 0.667 0.333 0.000
Pt 0.333 0.667 0.000

---

[5]
! KGaNi PBE relaxed; values from VASP
! - Spin magnetization: 0.1 μB/cell
! - Relative energy among the computed polymorphs: 0.5904 eV per atom
&SYSTEM
  ibrav = 0, nat = 3, ntyp = 3
/
ATOMIC_SPECIES
Ga 69.72 Ga.upf
K 39.10 K.upf
Ni 58.69 Ni.upf
CELL_PARAMETERS angstrom
3.817 -0.280 3.157
-0.134 2.502 4.282
-0.502 -2.446 4.288
ATOMIC_POSITIONS crystal
Ga 0.250 0.250 0.250
K 0.000 0.000 0.000
Ni 0.750 0.750 0.750

---

[6]
! Sr2LiP2Au PBE relaxed; values from VASP
! - Total DFT energy (no corrections): -4.17 eV/atom
&SYSTEM
  ibrav = 0, nat = 6, ntyp = 4
/
ATOMIC_SPECIES
Au 196.97 Au.upf
Li 6.94 Li.upf
P 30.97 P.upf
Sr 87.62 Sr.upf
CELL_PARAMETERS angstrom
4.357 0.000 0.000
-2.178 3.773 0.000
0.000 0.000 8.327
ATOMIC_POSITIONS crystal
Au 0.333 0.667 0.500
Li 0.667 0.333 0.000
P 0.333 0.667 0.000
P 0.667 0.333 0.500
Sr 0.000 0.000 0.246
Sr 0.000 0.000 0.754